# 1
# Mg2NbSnN4, relaxed, DFT PBE
# - energy (eV/cell) = -110.35
# - calculated volume (Å³ per cell) = 231.61
# - ΔE_f (raw) (meV/atom) = -576
# - magnetic moment (μB/f.u.) = 0.00
data_Mg2NbSnN4
_chemical_formula_sum 'Mg4 Nb2 Sn2 N8'
_space_group_name_H-M_alt 'P m n 21'
_space_group_IT_number 31
_cell_length_a 7.056
_cell_length_b 5.929
_cell_length_c 5.536
_cell_angle_alpha 90.00
_cell_angle_beta 90.00
_cell_angle_gamma 90.00
loop_
_space_group_symop_operation_xyz
'x,y,z'
'-x+1/2,-y,z+1/2'
'-x,y,z'
'x+1/2,-y,z+1/2'
loop_
_atom_site_label
_atom_site_fract_x
_atom_site_fract_y
_atom_site_fract_z
_atom_site_occupancy
Mg1 0.250 0.167 0.000 1
Nb1 0.000 0.328 0.505 1
Sn1 0.000 0.669 0.999 1
N1 0.000 0.321 0.865 1
N2 0.000 0.647 0.401 1
N3 0.231 0.172 0.385 1


# 2
# Mg4TaNb3N8, relaxed, DFT PBE
# - energy (eV/cell) = -394.01
# - calculated volume (Å³ per cell) = 511.68
# - ΔE_f (raw) (meV/atom) = -1018
# - magnetic moment (μB/f.u.) = 0.00
data_Mg4TaNb3N8
_chemical_formula_sum 'Mg12 Ta3 Nb9 N24'
_space_group_name_H-M_alt 'R -3 m'
_space_group_IT_number 166
_space_group_name_Hall '-R 3 2"'
_cell_length_a 6.1444
_cell_length_b 6.1444
_cell_length_c 15.6498
_cell_angle_alpha 90.00
_cell_angle_beta 90.00
_cell_angle_gamma 120.00
loop_
_atom_site_label
_atom_site_fract_x
_atom_site_fract_y
_atom_site_fract_z
_atom_site_occupancy
Mg1 0.0000 0.0000 0.0000 1
Mg2 0.0000 0.5000 0.0000 1
Ta1 0.0000 0.0000 0.5000 1
Nb1 0.0000 0.5000 0.5000 1
N1 0.0000 0.0000 0.2492 1
N2 0.0045 0.5022 0.2481 1


# 3
# Mg4Ta3NbN8, relaxed, DFT PBE
# - energy (eV/cell) = -406.97
# - calculated volume (Å³ per cell) = 509.11
# - ΔE_f (raw) (meV/atom) = -1066
# - magnetic moment (μB/f.u.) = 0.00
data_Mg4Ta3NbN8
_chemical_formula_sum 'Mg12 Ta9 Nb3 N24'
_space_group_name_H-M_alt 'R -3 m'
_space_group_IT_number 166
_space_group_name_Hall '-R 3 2"'
_cell_length_a 6.1315
_cell_length_b 6.1315
_cell_length_c 15.6367
_cell_angle_alpha 90.00
_cell_angle_beta 90.00
_cell_angle_gamma 120.00
loop_
_atom_site_label
_atom_site_fract_x
_atom_site_fract_y
_atom_site_fract_z
_atom_site_occupancy
Mg1 0.0000 0.0000 0.0000 1
Mg2 0.0000 0.5000 0.0000 1
Ta1 0.0000 0.5000 0.5000 1
Nb1 0.0000 0.0000 0.5000 1
N1 0.0000 0.0000 0.2472 1
N2 0.0047 0.5024 0.7517 1


# 4
# Mg3TaNb3N8, relaxed, DFT PBE
# - energy (eV/cell) = -381.89
# - calculated volume (Å³ per cell) = 513.65
# - ΔE_f (raw) (meV/atom) = -923
# - magnetic moment (μB/f.u.) = 0.00
data_Mg3TaNb3N8
_chemical_formula_sum 'Mg9 Ta3 Nb9 N24'
_space_group_name_H-M_alt 'R -3 m'
_space_group_IT_number 166
_space_group_name_Hall '-R 3 2"'
_cell_length_a 6.1745
_cell_length_b 6.1745
_cell_length_c 15.5571
_cell_angle_alpha 90.00
_cell_angle_beta 90.00
_cell_angle_gamma 120.00
loop_
_atom_site_label
_atom_site_fract_x
_atom_site_fract_y
_atom_site_fract_z
_atom_site_occupancy
Mg1 0.0000 0.5000 0.0000 1
Ta1 0.0000 0.0000 0.5000 1
Nb1 0.0000 0.5000 0.5000 1
N1 0.0000 0.0000 0.2495 1
N2 0.0088 0.5044 0.2424 1


# 5
# Mg2TaNb2N6, relaxed, DFT PBE
# - energy (eV/cell) = -190.08
# - calculated volume (Å³ per cell) = 256.44
# - ΔE_f (raw) (meV/atom) = -900
# - magnetic moment (μB/f.u.) = 0.00
data_Mg2TaNb2N6
_chemical_formula_sum 'Mg4 Ta2 Nb4 N12'
_space_group_name_H-M_alt 'C 1 2/m 1'
_space_group_IT_number 12
_cell_length_a 5.368
_cell_length_b 9.249
_cell_length_c 5.462
_cell_angle_alpha 90.00
_cell_angle_beta 108.97
_cell_angle_gamma 90.00
loop_
_space_group_symop_operation_xyz
'x,y,z'
'-x,-y,-z'
'-x,y,-z'
'x,-y,z'
'x+1/2,y+1/2,z'
'-x+1/2,-y+1/2,-z'
'-x+1/2,y+1/2,-z'
'x+1/2,-y+1/2,z'
loop_
_atom_site_label
_atom_site_fract_x
_atom_site_fract_y
_atom_site_fract_z
_atom_site_occupancy
Mg1 0.000 0.169 0.000 1
Ta1 0.000 0.000 0.500 1
Nb1 0.000 0.337 0.500 1
N1 0.236 0.170 0.728 1
N2 0.243 0.000 0.271 1


# 6
# Mg3Ta3NbN8, relaxed, DFT PBE
# - energy (eV/cell) = -395.03
# - calculated volume (Å³ per cell) = 508.82
# - ΔE_f (raw) (meV/atom) = -977
# - magnetic moment (μB/f.u.) = 0.00
data_Mg3Ta3NbN8
_chemical_formula_sum 'Mg9 Ta9 Nb3 N24'
_space_group_name_H-M_alt 'R -3 m'
_space_group_IT_number 166
_space_group_name_Hall '-R 3 2"'
_cell_length_a 6.1536
_cell_length_b 6.1536
_cell_length_c 15.5157
_cell_angle_alpha 90.00
_cell_angle_beta 90.00
_cell_angle_gamma 120.00
loop_
_atom_site_label
_atom_site_fract_x
_atom_site_fract_y
_atom_site_fract_z
_atom_site_occupancy
Mg1 0.0000 0.5000 0.0000 1
Ta1 0.0000 0.5000 0.5000 1
Nb1 0.0000 0.0000 0.5000 1
N1 0.0000 0.0000 0.2479 1
N2 0.0018 0.5009 0.2427 1


# 7
# Mg2NbTcN4, relaxed, DFT PBE
# - energy (eV/cell) = -62.47
# - calculated volume (Å³ per cell) = 82.12
# - ΔE_f (raw) (meV/atom) = -694
# - magnetic moment (μB/f.u.) = 0.00
data_Mg2NbTcN4
_chemical_formula_sum 'Mg2 Nb1 Tc1 N4'
_space_group_name_H-M_alt 'P 1 2/m 1'
_space_group_IT_number 10
_cell_length_a 5.199
_cell_length_b 3.023
_cell_length_c 5.522
_cell_angle_alpha 90.00
_cell_angle_beta 108.90
_cell_angle_gamma 90.00
loop_
_space_group_symop_operation_xyz
'x,y,z'
'-x,-y,-z'
'-x,y,-z'
'x,-y,z'
loop_
_atom_site_label
_atom_site_fract_x
_atom_site_fract_y
_atom_site_fract_z
_atom_site_occupancy
Mg1 0.000 0.000 0.000 1
Mg2 0.500 0.500 0.000 1
Nb1 0.000 0.500 0.500 1
Tc1 0.500 0.000 0.500 1
N1 0.245 0.000 0.746 1
N2 0.254 0.500 0.254 1


# 8
# MgNbTe2N, relaxed, DFT PBE
# - energy (eV/cell) = -22.01
# - calculated volume (Å³ per cell) = 114.64
# - ΔE_f (raw) (meV/atom) = 853
# - magnetic moment (μB/f.u.) = 3.55
data_MgNbTe2N
_chemical_formula_sum 'Mg1 Nb1 Te2 N1'
_space_group_name_H-M_alt 'P 4/m m m'
_space_group_IT_number 123
_space_group_name_Hall '-P 4 2'
_cell_length_a 5.490
_cell_length_b 5.490
_cell_length_c 3.803
_cell_angle_alpha 90.00
_cell_angle_beta 90.00
_cell_angle_gamma 90.00
loop_
_atom_site_label
_atom_site_fract_x
_atom_site_fract_y
_atom_site_fract_z
_atom_site_occupancy
Mg1 0.000 0.000 0.000 1
Nb1 0.500 0.500 0.500 1
Te1 0.000 0.500 0.000 1
N1 0.000 0.000 0.500 1


# 9
# MgNbTe2N, relaxed, DFT PBE
# - energy (eV/cell) = -26.55
# - calculated volume (Å³ per cell) = 123.65
# - ΔE_f (raw) (meV/atom) = -55
# - magnetic moment (μB/f.u.) = 0.00
data_MgNbTe2N
_chemical_formula_sum 'Mg1 Nb1 Te2 N1'
_space_group_name_H-M_alt 'P 4/m m m'
_space_group_IT_number 123
_space_group_name_Hall '-P 4 2'
_cell_length_a 5.615
_cell_length_b 5.615
_cell_length_c 3.922
_cell_angle_alpha 90.00
_cell_angle_beta 90.00
_cell_angle_gamma 90.00
loop_
_atom_site_label
_atom_site_fract_x
_atom_site_fract_y
_atom_site_fract_z
_atom_site_occupancy
Mg1 0.000 0.000 0.000 1
Nb1 0.500 0.500 0.500 1
Te1 0.000 0.500 0.500 1
N1 0.500 0.500 0.000 1


# 10
# Th2MgNbN5, relaxed, DFT PBE
# - energy (eV/cell) = -315.58
# - calculated volume (Å³ per cell) = 492.72
# - ΔE_f (raw) (meV/atom) = -1196
# - magnetic moment (μB/f.u.) = 0.00
data_Th2MgNbN5
_chemical_formula_sum 'Th8 Mg4 Nb4 N20'
_space_group_name_H-M_alt 'C m c 21'
_space_group_IT_number 36
_cell_length_a 3.427
_cell_length_b 13.709
_cell_length_c 10.487
_cell_angle_alpha 90.00
_cell_angle_beta 90.00
_cell_angle_gamma 90.00
loop_
_space_group_symop_operation_xyz
'x,y,z'
'-x,-y,z+1/2'
'-x,y,z'
'x,-y,z+1/2'
'x+1/2,y+1/2,z'
'-x+1/2,-y+1/2,z+1/2'
'-x+1/2,y+1/2,z'
'x+1/2,-y+1/2,z+1/2'
loop_
_atom_site_label
_atom_site_fract_x
_atom_site_fract_y
_atom_site_fract_z
_atom_site_occupancy
Th1 0.000 0.106 0.000 1
Th2 0.000 0.134 0.614 1
Mg1 0.000 0.469 0.790 1
Nb1 0.000 0.208 0.326 1
N1 0.000 0.068 0.383 1
N2 0.000 0.278 0.986 1
N3 0.000 0.303 0.713 1
N4 0.000 0.366 0.328 1
N5 0.000 0.498 0.096 1


# 11
# Mg3TiNb3N8, relaxed, DFT PBE
# - energy (eV/cell) = -372.10
# - calculated volume (Å³ per cell) = 503.65
# - ΔE_f (raw) (meV/atom) = -970
# - magnetic moment (μB/f.u.) = 0.00
data_Mg3TiNb3N8
_chemical_formula_sum 'Mg9 Ti3 Nb9 N24'
_space_group_name_H-M_alt 'R -3 m'
_space_group_IT_number 166
_space_group_name_Hall '-R 3 2"'
_cell_length_a 6.1449
_cell_length_b 6.1449
_cell_length_c 15.4016
_cell_angle_alpha 90.00
_cell_angle_beta 90.00
_cell_angle_gamma 120.00
loop_
_atom_site_label
_atom_site_fract_x
_atom_site_fract_y
_atom_site_fract_z
_atom_site_occupancy
Mg1 0.0000 0.5000 0.0000 1
Ti1 0.0000 0.0000 0.5000 1
Nb1 0.0000 0.5000 0.5000 1
N1 0.0000 0.0000 0.2487 1
N2 0.0078 0.5039 0.2412 1


# 12
# Mg2TiNbN4, relaxed, DFT PBE
# - energy (eV/cell) = -63.72
# - calculated volume (Å³ per cell) = 82.71
# - ΔE_f (raw) (meV/atom) = -1158
# - magnetic moment (μB/f.u.) = 0.00
data_Mg2TiNbN4
_chemical_formula_sum 'Mg2 Ti1 Nb1 N4'
_space_group_name_H-M_alt 'P 1 2/m 1'
_space_group_IT_number 10
_cell_length_a 5.295
_cell_length_b 3.058
_cell_length_c 5.402
_cell_angle_alpha 90.00
_cell_angle_beta 108.96
_cell_angle_gamma 90.00
loop_
_space_group_symop_operation_xyz
'x,y,z'
'-x,-y,-z'
'-x,y,-z'
'x,-y,z'
loop_
_atom_site_label
_atom_site_fract_x
_atom_site_fract_y
_atom_site_fract_z
_atom_site_occupancy
Mg1 0.000 0.000 0.000 1
Mg2 0.500 0.500 0.000 1
Ti1 0.000 0.500 0.500 1
Nb1 0.500 0.000 0.500 1
N1 0.242 0.000 0.735 1
N2 0.250 0.500 0.259 1


# 13
# MgTi2NbN, relaxed, DFT PBE
# - energy (eV/cell) = -38.83
# - calculated volume (Å³ per cell) = 75.68
# - ΔE_f (raw) (meV/atom) = -610
# - magnetic moment (μB/f.u.) = 0.00
data_MgTi2NbN
_chemical_formula_sum 'Mg1 Ti2 Nb1 N1'
_space_group_name_H-M_alt 'P 4/m m m'
_space_group_IT_number 123
_space_group_name_Hall '-P 4 2'
_cell_length_a 4.129
_cell_length_b 4.129
_cell_length_c 4.438
_cell_angle_alpha 90.00
_cell_angle_beta 90.00
_cell_angle_gamma 90.00
loop_
_atom_site_label
_atom_site_fract_x
_atom_site_fract_y
_atom_site_fract_z
_atom_site_occupancy
Mg1 0.000 0.000 0.000 1
Ti1 0.000 0.500 0.500 1
Nb1 0.500 0.500 0.000 1
N1 0.500 0.500 0.500 1


# 14
# Mg2UNbN4, relaxed, DFT PBE
# - energy (eV/cell) = -66.14
# - calculated volume (Å³ per cell) = 94.09
# - ΔE_f (raw) (meV/atom) = -1036
# - magnetic moment (μB/f.u.) = 0.70
data_Mg2UNbN4
_chemical_formula_sum 'Mg2 U1 Nb1 N4'
_space_group_name_H-M_alt 'P 1 2/m 1'
_space_group_IT_number 10
_cell_length_a 5.526
_cell_length_b 3.231
_cell_length_c 5.584
_cell_angle_alpha 90.00
_cell_angle_beta 109.30
_cell_angle_gamma 90.00
loop_
_space_group_symop_operation_xyz
'x,y,z'
'-x,-y,-z'
'-x,y,-z'
'x,-y,z'
loop_
_atom_site_label
_atom_site_fract_x
_atom_site_fract_y
_atom_site_fract_z
_atom_site_occupancy
Mg1 0.000 0.000 0.000 1
Mg2 0.500 0.500 0.000 1
U1 0.000 0.500 0.500 1
Nb1 0.500 0.000 0.500 1
N1 0.251 0.000 0.750 1
N2 0.255 0.500 0.257 1


# 15
# Mg2UNb2N6, relaxed, DFT PBE
# - energy (eV/cell) = -190.92
# - calculated volume (Å³ per cell) = 273.86
# - ΔE_f (raw) (meV/atom) = -990
# - magnetic moment (μB/f.u.) = 0.00
data_Mg2UNb2N6
_chemical_formula_sum 'Mg4 U2 Nb4 N12'
_space_group_name_H-M_alt 'C 1 2/m 1'
_space_group_IT_number 12
_cell_length_a 5.632
_cell_length_b 9.454
_cell_length_c 5.575
_cell_angle_alpha 90.00
_cell_angle_beta 112.67
_cell_angle_gamma 90.00
loop_
_space_group_symop_operation_xyz
'x,y,z'
'-x,-y,-z'
'-x,y,-z'
'x,-y,z'
'x+1/2,y+1/2,z'
'-x+1/2,-y+1/2,-z'
'-x+1/2,y+1/2,-z'
'x+1/2,-y+1/2,z'
loop_
_atom_site_label
_atom_site_fract_x
_atom_site_fract_y
_atom_site_fract_z
_atom_site_occupancy
Mg1 0.000 0.157 0.000 1
U1 0.000 0.500 0.000 1
Nb1 0.000 0.316 0.500 1
N1 0.215 0.500 0.769 1
N2 0.230 0.321 0.259 1


# 16
# Mg3Nb3WN8, relaxed, DFT PBE
# - energy (eV/cell) = -379.47
# - calculated volume (Å³ per cell) = 507.28
# - ΔE_f (raw) (meV/atom) = -796
# - magnetic moment (μB/f.u.) = 0.00
data_Mg3Nb3WN8
_chemical_formula_sum 'Mg9 Nb9 W3 N24'
_space_group_name_H-M_alt 'R -3 m'
_space_group_IT_number 166
_space_group_name_Hall '-R 3 2"'
_cell_length_a 6.1176
_cell_length_b 6.1176
_cell_length_c 15.6514
_cell_angle_alpha 90.00
_cell_angle_beta 90.00
_cell_angle_gamma 120.00
loop_
_atom_site_label
_atom_site_fract_x
_atom_site_fract_y
_atom_site_fract_z
_atom_site_occupancy
Mg1 0.0000 0.5000 0.0000 1
Nb1 0.0000 0.5000 0.5000 1
W1 0.0000 0.0000 0.5000 1
N1 0.0000 0.0000 0.2499 1
N2 0.0138 0.5069 0.2430 1


# 17
# MgNbZn2N4, relaxed, DFT PBE
# - energy (eV/cell) = -100.51
# - calculated volume (Å³ per cell) = 208.60
# - ΔE_f (raw) (meV/atom) = -343
# - magnetic moment (μB/f.u.) = 0.94
data_MgNbZn2N4
_chemical_formula_sum 'Mg2 Nb2 Zn4 N8'
_space_group_name_H-M_alt 'P m n 21'
_space_group_IT_number 31
_cell_length_a 6.852
_cell_length_b 5.824
_cell_length_c 5.227
_cell_angle_alpha 90.00
_cell_angle_beta 90.00
_cell_angle_gamma 90.00
loop_
_space_group_symop_operation_xyz
'x,y,z'
'-x+1/2,-y,z+1/2'
'-x,y,z'
'x+1/2,-y,z+1/2'
loop_
_atom_site_label
_atom_site_fract_x
_atom_site_fract_y
_atom_site_fract_z
_atom_site_occupancy
Mg1 0.000 0.176 0.000 1
Nb1 0.000 0.825 0.510 1
Zn1 0.247 0.329 0.502 1
N1 0.000 0.152 0.407 1
N2 0.000 0.827 0.884 1
N3 0.238 0.666 0.395 1


# 18
# Mg4Nb3ZnN8, relaxed, DFT PBE
# - energy (eV/cell) = -352.68
# - calculated volume (Å³ per cell) = 513.14
# - ΔE_f (raw) (meV/atom) = -819
# - magnetic moment (μB/f.u.) = 0.00
data_Mg4Nb3ZnN8
_chemical_formula_sum 'Mg12 Nb9 Zn3 N24'
_space_group_name_H-M_alt 'R -3 m'
_space_group_IT_number 166
_space_group_name_Hall '-R 3 2"'
_cell_length_a 6.2139
_cell_length_b 6.2139
_cell_length_c 15.3453
_cell_angle_alpha 90.00
_cell_angle_beta 90.00
_cell_angle_gamma 120.00
loop_
_atom_site_label
_atom_site_fract_x
_atom_site_fract_y
_atom_site_fract_z
_atom_site_occupancy
Mg1 0.0000 0.0000 0.0000 1
Mg2 0.0000 0.5000 0.0000 1
Nb1 0.0000 0.5000 0.5000 1
Zn1 0.0000 0.0000 0.5000 1
N1 0.0000 0.0000 0.2472 1
N2 0.0118 0.5059 0.7537 1


# 19
# Mg2NbZnN4, relaxed, DFT PBE
# - energy (eV/cell) = -104.66
# - calculated volume (Å³ per cell) = 197.36
# - ΔE_f (raw) (meV/atom) = -562
# - magnetic moment (μB/f.u.) = 0.00
data_Mg2NbZnN4
_chemical_formula_sum 'Mg4 Nb2 Zn2 N8'
_space_group_name_H-M_alt 'P m n 21'
_space_group_IT_number 31
_cell_length_a 7.134
_cell_length_b 6.328
_cell_length_c 4.372
_cell_angle_alpha 90.00
_cell_angle_beta 90.00
_cell_angle_gamma 90.00
loop_
_space_group_symop_operation_xyz
'x,y,z'
'-x+1/2,-y,z+1/2'
'-x,y,z'
'x+1/2,-y,z+1/2'
loop_
_atom_site_label
_atom_site_fract_x
_atom_site_fract_y
_atom_site_fract_z
_atom_site_occupancy
Mg1 0.245 0.163 0.000 1
Nb1 0.000 0.663 0.021 1
Zn1 0.000 0.324 0.498 1
N1 0.000 0.346 0.991 1
N2 0.000 0.657 0.491 1
N3 0.239 0.826 0.994 1


# 20
# MgNb4ZnN8, relaxed, DFT PBE
# - energy (eV/cell) = -356.89
# - calculated volume (Å³ per cell) = 517.43
# - ΔE_f (raw) (meV/atom) = -658
# - magnetic moment (μB/f.u.) = 0.00
data_MgNb4ZnN8
_chemical_formula_sum 'Mg3 Nb12 Zn3 N24'
_space_group_name_H-M_alt 'R 3 m'
_space_group_IT_number 160
_space_group_name_Hall 'R 3 -2"'
_cell_length_a 6.2567
_cell_length_b 6.2567
_cell_length_c 15.2625
_cell_angle_alpha 90.00
_cell_angle_beta 90.00
_cell_angle_gamma 120.00
loop_
_atom_site_label
_atom_site_fract_x
_atom_site_fract_y
_atom_site_fract_z
_atom_site_occupancy
Mg1 0.0000 0.0000 0.0000 1
Nb1 0.0000 0.0000 0.3754 1
Nb2 0.0126 0.5063 0.5018 1
Zn1 0.0000 0.0000 0.6203 1
N1 0.0000 0.0000 0.2402 1
N2 0.0000 0.0000 0.7555 1
N3 0.0099 0.5050 0.7503 1
N4 0.1766 0.3533 0.5703 1